Density functional theory data (PBE) for an optimized crystal structure of RbTeI3.

Structure (POSCAR):
```
RbTeI3
1.0
10.139 0.000 0.000
0.000 17.938 0.000
0.000 0.000 6.126
Rb Te I
4 4 12
direct
0.000 0.000 0.000 Rb
0.000 0.500 0.000 Rb
0.500 0.000 0.500 Rb
0.500 0.500 0.500 Rb
0.165 0.250 0.487 Te
0.335 0.750 0.987 Te
0.665 0.250 0.013 Te
0.835 0.750 0.513 Te
0.083 0.750 0.243 I
0.162 0.084 0.488 I
0.162 0.416 0.488 I
0.338 0.584 0.988 I
0.338 0.916 0.988 I
0.417 0.250 0.743 I
0.583 0.750 0.257 I
0.662 0.084 0.012 I
0.662 0.416 0.012 I
0.838 0.584 0.512 I
0.838 0.916 0.512 I
0.917 0.250 0.757 I
```

Values from the calculation:
* space group: Pnma, No. 62
* relative energy among the computed polymorphs: 0 meV/atom
* M_tot: 0.000 μB/f.u.
* ΔE_f (raw): -647 meV per atom
* total energy: -2.40 eV per atom
* crystal system: orthorhombic

=====

Density functional theory data (PBE) for an optimized crystal structure of RbTeI3.

Structure (POSCAR):
```
RbTeI3
1.0
-3.200 3.200 13.284
3.200 -3.200 13.284
3.200 3.200 -13.284
Rb Te I
2 2 6
direct
0.089 0.089 0.000 Rb
0.911 0.911 0.000 Rb
0.500 0.500 0.000 Te
0.750 0.250 0.500 Te
0.009 0.509 0.500 I
0.109 0.355 0.755 I
0.491 0.991 0.500 I
0.600 0.355 0.245 I
0.645 0.400 0.755 I
0.645 0.891 0.245 I
```

Values from the calculation:
* space group: I-4m2, No. 119
* relative energy among the computed polymorphs: 254 meV/atom
* M_tot: 0.663 μB/f.u.
* ΔE_f (raw): -393 meV per atom
* total energy: -2.15 eV per atom
* crystal system: tetragonal

=====

Density functional theory data (PBE) for an optimized crystal structure of Rb2TeI8.

Structure (POSCAR):
```
Rb2TeI8
1.0
7.770 -6.597 0.000
7.770 6.597 0.000
-1.752 0.000 6.363
Rb Te I
2 1 8
direct
0.222 0.222 0.121 Rb
0.778 0.778 0.879 Rb
0.500 0.500 0.000 Te
0.003 0.003 0.259 I
0.264 0.591 0.216 I
0.323 0.323 0.686 I
0.409 0.736 0.784 I
0.591 0.264 0.216 I
0.677 0.677 0.314 I
0.736 0.409 0.784 I
0.997 0.997 0.741 I
```

Values from the calculation:
* space group: C2/m, No. 12
* M_tot: 0.622 μB/f.u.
* ΔE_f (raw): -497 meV per atom
* total energy: -2.09 eV per atom
* crystal system: monoclinic

=====

Density functional theory data (PBE) for an optimized crystal structure of RbTeI3.

Structure (POSCAR):
```
RbTeI3
1.0
9.659 -6.042 0.000
9.659 6.042 0.000
-5.270 0.000 9.257
Rb Te I
4 4 12
direct
0.083 0.728 0.886 Rb
0.272 0.917 0.614 Rb
0.728 0.083 0.386 Rb
0.917 0.272 0.114 Rb
0.070 0.930 0.250 Te
0.419 0.581 0.750 Te
0.581 0.419 0.250 Te
0.930 0.070 0.750 Te
0.009 0.423 0.584 I
0.077 0.260 0.812 I
0.260 0.077 0.312 I
0.322 0.417 0.079 I
0.417 0.322 0.579 I
0.423 0.009 0.084 I
0.577 0.991 0.916 I
0.583 0.678 0.421 I
0.678 0.583 0.921 I
0.740 0.923 0.688 I
0.923 0.740 0.188 I
0.991 0.577 0.416 I
```

Values from the calculation:
* space group: C2/c, No. 15
* relative energy among the computed polymorphs: 194 meV/atom
* M_tot: 0.000 μB/f.u.
* ΔE_f (raw): -453 meV per atom
* total energy: -2.20 eV per atom
* crystal system: monoclinic

=====

Density functional theory data (PBE) for an optimized crystal structure of RbTeI3.

Structure (POSCAR):
```
RbTeI3
1.0
6.167 0.000 0.000
-3.083 5.340 0.000
0.000 0.000 12.816
Rb Te I
2 2 6
direct
0.333 0.667 0.250 Rb
0.667 0.333 0.750 Rb
0.000 0.000 0.000 Te
0.000 0.000 0.500 Te
0.000 0.000 0.250 I
0.000 0.000 0.750 I
0.333 0.667 0.530 I
0.333 0.667 0.970 I
0.667 0.333 0.030 I
0.667 0.333 0.470 I
```

Values from the calculation:
* space group: P6_3/mmc, No. 194
* relative energy among the computed polymorphs: 251 meV/atom
* M_tot: 0.000 μB/f.u.
* ΔE_f (raw): -396 meV per atom
* total energy: -2.15 eV per atom
* crystal system: hexagonal

=====

Density functional theory data (PBE) for an optimized crystal structure of RbTeI3.

Structure (POSCAR):
```
RbTeI3
1.0
-3.126 3.126 15.459
3.126 -3.126 15.459
3.126 3.126 -15.459
Rb Te I
2 2 6
direct
0.000 0.000 0.000 Rb
0.750 0.250 0.500 Rb
0.207 0.707 0.500 Te
0.293 0.793 0.500 Te
0.308 0.308 0.000 I
0.355 0.104 0.252 I
0.692 0.692 0.000 I
0.852 0.104 0.748 I
0.896 0.148 0.252 I
0.896 0.645 0.748 I
```

Values from the calculation:
* space group: I-4m2, No. 119
* relative energy among the computed polymorphs: 127 meV/atom
* M_tot: 0.000 μB/f.u.
* ΔE_f (raw): -521 meV per atom
* total energy: -2.27 eV per atom
* crystal system: tetragonal